VASP calculation (PBE-GGA) on crystalline MoOsRh2 at its relaxed geometry.

raw total energy: -8.735 eV per atom
density of states at the Fermi level: 9.34 states/eV/cell
theoretical density: 12.883 g/cm3
space-group type: I-42d, No. 122
energy of formation: 0.46 eV per atom
ΔE to the lowest computed polymorph: 0.645 eV/atom

Cell lengths 3.743, 3.743, 9.430 Å; angles 78.55, 78.55, 90.00 degrees
Sites, in units of the cell vectors:
Mo 0.500 0.500 0.000
Mo 0.250 0.750 0.500
Rh 0.375 0.369 0.750
Rh 0.631 0.125 0.250
Rh 0.119 0.625 0.250
Rh 0.875 0.881 0.750
Os 0.000 0.000 0.000
Os 0.750 0.250 0.500